(1)
This record from the Alexandria database describes ReTe2Rh after structural relaxation. The functional is PBE.

The total magnetization is 0.000 μB per atom. Its density is 12.107 g/cm3. The total DFT energy (no corrections) is -96.14 eV/cell.

The space group is Fm-3m (No. 225) and the conventional cell measures 6.684, 6.684 and 6.684 Å, with angles of 90.00, 90.00 and 90.00 degrees. The asymmetric unit holds Re at (0.000, 0.000, 0.000), Te at (0.250, 0.250, 0.250) and Rh at (0.000, 0.000, 0.500).

=====

(2)
This record from the Alexandria database describes Pm2Nd5Th4 after structural relaxation. The functional is PBE.

The total magnetization is 0.000 μB per atom. Its density is 8.061 g/cm3. The total DFT energy (no corrections) is -119.00 eV/cell.

The space group is C2/m (No. 12) and the conventional cell measures 23.807, 3.467 and 9.700 Å, with angles of 90.00, 93.56 and 90.00 degrees. The asymmetric unit holds Pm at (0.240, 0.000, 0.329), Nd at (0.000, 0.000, 0.000), Nd at (0.128, 0.500, 0.516), Nd at (0.145, 0.500, 0.908), Th at (0.003, 0.500, 0.674) and Th at (0.112, 0.000, 0.205).

=====

(3)
This record from the Alexandria database describes K3Zr2NpS6 after structural relaxation. The functional is PBE.

The total magnetization is 0.427 μB per atom. Its density is 4.182 g/cm3. The total DFT energy (no corrections) is -151.06 eV/cell.

The space group is C2/m (No. 12) and the conventional cell measures 6.707, 11.619 and 7.761 Å, with angles of 90.00, 106.77 and 90.00 degrees. The asymmetric unit holds K at (0.000, 0.000, 0.000), K at (0.000, 0.335, 0.000), Zr at (0.000, 0.167, 0.500), Np at (0.000, 0.500, 0.500), S at (0.221, 0.000, 0.701) and S at (0.240, 0.327, 0.702).

=====

Q: Look up the density of the third one.
A: 4.182 g/cm3

=====

Repeat the third record exactly.
This record from the Alexandria database describes K3Zr2NpS6 after structural relaxation. The functional is PBE.

The total magnetization is 0.427 μB per atom. Its density is 4.182 g/cm3. The total DFT energy (no corrections) is -151.06 eV/cell.

The space group is C2/m (No. 12) and the conventional cell measures 6.707, 11.619 and 7.761 Å, with angles of 90.00, 106.77 and 90.00 degrees. The asymmetric unit holds K at (0.000, 0.000, 0.000), K at (0.000, 0.335, 0.000), Zr at (0.000, 0.167, 0.500), Np at (0.000, 0.500, 0.500), S at (0.221, 0.000, 0.701) and S at (0.240, 0.327, 0.702).

=====

Q: The lowest density belongs to which entry?
A: K3Zr2NpS6